! PBE+U VInGaF6, relaxed; values from VASP
&SYSTEM
  ibrav = 0, nat = 9, ntyp = 4
/
ATOMIC_SPECIES
F 19.00 F.upf
Ga 69.72 Ga.upf
V 50.94 V.upf
In 114.82 In.upf
CELL_PARAMETERS angstrom
-3.4725 0.0047 4.2647
1.4261 -2.4190 4.7028
2.3103 5.0331 1.9181
ATOMIC_POSITIONS crystal
F 0.3616 0.6139 0.3168
F 0.3598 0.0255 0.6829
Ga 0.3329 0.3338 0.5000
F 0.0279 0.3618 0.3160
F 0.6108 0.3608 0.6838
V 0.6674 0.6656 0.5000
F 0.6138 0.0266 0.3170
In 0.0003 0.9995 0.0000
F 0.0251 0.6126 0.6835
! Final energy, eV/atom: -5.160
! Spin magnetization, μB per formula unit: 3.000